Material: Os2RhPb
Method: DFT, PBE-GGA
State: optimized geometry

abc: 2.941 2.941 7.724
angles: 90.00 90.00 90.00
Fractional coordinates of all 4 atoms:
1 Rh 0.500 0.500 0.500
2 Pb 0.500 0.500 0.000
3 Os 0.000 0.000 0.278
4 Os 0.000 0.000 0.722

Values from the calculation:
Its total energy is -7.5224 eV per atom. For the magnetic moment, the calculation gives 0.0 μB per formula unit.